[1]
The following is a PBE-GGA calculation of a relaxed P2SI crystal, from the Alexandria database.

The calculation puts the polymorph energy (0 for the lowest one) at 0.000 eV/atom. As for the uncorrected formation energy: 0.71 eV per atom. The size of the total moment is 0.0 μB per formula unit.

a b c (Å): 6.273 6.273 6.273
angles (deg): 112.44 112.44 103.69
Atoms (fractional coordinates):
1 P 0.060 0.625 0.935
2 P 0.375 0.310 0.435
3 P 0.690 0.125 0.065
4 P 0.875 0.940 0.565
5 S 0.000 0.000 0.000
6 S 0.750 0.250 0.500
7 I 0.250 0.750 0.500
8 I 0.500 0.500 0.000

=====

[2]
The following is a PBE-GGA calculation of a relaxed YBePt3 crystal, from the Alexandria database.

The calculation puts the polymorph energy (0 for the lowest one) at 0.093 eV/atom. The energy of formation from the pure elements comes out at -0.8634 eV per atom. The size of the total moment is 0.0 μB per formula unit.

a b c (Å): 6.937 5.531 10.265
angles (deg): 90.00 118.15 90.00
Atoms (fractional coordinates):
1 Y 0.206 0.248 0.062
2 Y 0.206 0.252 0.562
3 Y 0.794 0.748 0.438
4 Y 0.794 0.752 0.938
5 Be 0.280 0.737 0.425
6 Be 0.280 0.763 0.925
7 Be 0.720 0.237 0.075
8 Be 0.720 0.263 0.575
9 Pt 0.032 0.026 0.259
10 Pt 0.032 0.474 0.759
11 Pt 0.263 0.743 0.161
12 Pt 0.263 0.757 0.661
13 Pt 0.391 0.148 0.873
14 Pt 0.391 0.352 0.373
15 Pt 0.609 0.648 0.627
16 Pt 0.609 0.852 0.127
17 Pt 0.737 0.243 0.339
18 Pt 0.737 0.257 0.839
19 Pt 0.968 0.526 0.241
20 Pt 0.968 0.974 0.741

=====

[3]
The following is a PBE-GGA calculation of a relaxed TmAl3Fe crystal, from the Alexandria database.

The calculation puts the polymorph energy (0 for the lowest one) at 0.385 eV/atom. The energy of formation from the pure elements comes out at 0.0604 eV per atom. The size of the total moment is 0.0 μB per formula unit.

a b c (Å): 6.515 6.515 4.965
angles (deg): 90.00 90.00 114.16
Atoms (fractional coordinates):
1 Tm 0.090 0.910 0.750
2 Tm 0.910 0.090 0.250
3 Al 0.058 0.597 0.250
4 Al 0.403 0.942 0.250
5 Al 0.500 0.500 0.000
6 Al 0.500 0.500 0.500
7 Al 0.597 0.058 0.750
8 Al 0.942 0.403 0.750
9 Fe 0.317 0.683 0.750
10 Fe 0.683 0.317 0.250

=====

Question: Which of these has the highest polymorph energy (0 for the lowest one)?
Answer: TmAl3Fe